No. 1
Compound: KLaZr2
Source: the Alexandria database
Functional: PBE
Structure: relaxed

The polymorph energy (0 for the lowest one) comes out at 0.433 eV/atom. As for the crystal system: monoclinic. As for the energy: -40.20 eV/cell.

The structure belongs to space group C2/m (No. 12); the cell edges are 6.667, 12.093 and 3.031 Å and the angles 90.00°, 107.35° and 90.00°. The distinct sites, in fractional coordinates, are K at (0.000, 0.000, 0.000), La at (0.000, 0.500, 0.000) and Zr at (0.250, 0.250, 0.500).


No. 2
Compound: LaPIrF
Source: the Alexandria database
Functional: PBE
Structure: relaxed

The calculation puts the uncorrected formation energy at -2098.4 meV per atom. As for the crystal system: tetragonal. As for the energy: -58.93 eV/cell.

The structure belongs to space group P4/nmm (No. 129, origin choice 2); the cell edges are 3.971, 3.971 and 8.720 Å and the angles 90.00°, 90.00° and 90.00°. The distinct sites, in fractional coordinates, are La at (0.250, 0.250, 0.191), P at (0.250, 0.250, 0.656), Ir at (0.250, 0.750, 0.500) and F at (0.250, 0.750, 0.000).


No. 3
Compound: Be2SO
Source: the Alexandria database
Functional: PBE
Structure: relaxed

The polymorph energy (0 for the lowest one) comes out at 0.000 eV/atom. The calculation puts the uncorrected formation energy at -1702.9 meV per atom. As for the crystal system: tetragonal. As for the energy: -93.40 eV/cell.

The structure belongs to space group I-42d (No. 122); the cell edges are 4.366, 4.366 and 8.660 Å and the angles 90.00°, 90.00° and 90.00°. The distinct sites, in fractional coordinates, are Be at (0.178, 0.250, 0.125), S at (0.000, 0.000, 0.500) and O at (0.000, 0.000, 0.000).


No. 4
Compound: NdGdDyCd
Source: the Alexandria database
Functional: PBE
Structure: relaxed

As for the crystal system: cubic. As for the energy: -98.12 eV/cell.

The structure belongs to space group F-43m (No. 216); the cell edges are 7.807, 7.807 and 7.807 Å and the angles 90.00°, 90.00° and 90.00°. The distinct sites, in fractional coordinates, are Nd at (0.000, 0.000, 0.000), Gd at (0.000, 0.000, 0.500), Dy at (0.250, 0.250, 0.750) and Cd at (0.250, 0.250, 0.250).


No. 5
Compound: Sn8IrPt2
Source: the Alexandria database
Functional: PBE
Structure: relaxed

As for the crystal system: triclinic. As for the energy: -55.30 eV/cell.

The structure belongs to space group P-1 (No. 2); the cell edges are 5.535, 6.807 and 7.654 Å and the angles 102.38°, 91.77° and 108.12°. The distinct sites, in fractional coordinates, are Sn at (0.122, 0.376, 0.145), Sn at (0.256, 0.208, 0.727), Sn at (0.292, 0.610, 0.552), Sn at (0.293, 0.981, 0.171), Ir at (0.500, 0.000, 0.500) and Pt at (0.384, 0.648, 0.936).


No. 6
Compound: Ba8IrPt3I4
Source: the Alexandria database
Functional: PBE
Structure: relaxed

The calculation puts the uncorrected formation energy at -1048.4 meV per atom. As for the crystal system: trigonal. As for the energy: -196.02 eV/cell.

The structure belongs to space group R-3m (No. 166, hexagonal axes); the cell edges are 9.2724, 9.2724 and 25.8573 Å and the angles 90.00°, 90.00° and 120.00°. The distinct sites, in fractional coordinates, are Ba at (0.0000, 0.0000, 0.2333), Ba at (0.0082, 0.5041, 0.2329), Ir at (0.0000, 0.0000, 0.5000), Pt at (0.0000, 0.5000, 0.5000), I at (0.0000, 0.0000, 0.0000) and I at (0.0000, 0.5000, 0.0000).


No. 7
Compound: Rb2CdIrI6
Source: the Alexandria database
Functional: PBE
Structure: relaxed

The calculation puts the uncorrected formation energy at -636.0 meV per atom. As for the crystal system: tetragonal. As for the energy: -54.74 eV/cell.

The structure belongs to space group I4/mmm (No. 139); the cell edges are 8.251, 8.251 and 11.549 Å and the angles 90.00°, 90.00° and 90.00°. The distinct sites, in fractional coordinates, are Rb at (0.000, 0.500, 0.250), Cd at (0.000, 0.000, 0.000), Ir at (0.000, 0.000, 0.500), I at (0.000, 0.000, 0.263) and I at (0.234, 0.234, 0.500).


No. 8
Compound: SiH12C2N6F6
Source: the Alexandria database
Functional: PBE
Structure: relaxed

As for the crystal system: monoclinic. As for the energy: -311.24 eV/cell.

The structure belongs to space group C2/m (No. 12); the cell edges are 12.623, 7.289 and 6.322 Å and the angles 90.00°, 112.67° and 90.00°. The distinct sites, in fractional coordinates, are Si at (0.000, 0.000, 0.000), H at (0.070, 0.380, 0.251), H at (0.150, 0.159, 0.751), H at (0.229, 0.220, 0.248), C at (0.220, 0.500, 0.269), N at (0.115, 0.500, 0.277), N at (0.227, 0.159, 0.731), F at (0.021, 0.167, 0.827) and F at (0.145, 0.000, 0.164).